1.
A plane-wave DFT calculation with PBE was carried out for a relaxed MgSc2PtN crystal.

## Properties
- formation energy without anion corrections (eV/atom) = -1.1313

a b c (Å): 4.3826 4.3826 4.1447
angles (deg): 90.00 90.00 90.00
Sites, in units of the cell vectors:
Mg (0.0000, 0.0000, 0.0000)
Sc (0.0000, 0.5000, 0.5000)
Sc (0.5000, 0.0000, 0.5000)
Pt (0.5000, 0.5000, 0.0000)
N (0.0000, 0.0000, 0.5000)


2.
A plane-wave DFT calculation with PBE was carried out for a relaxed NiSnIr3 crystal.

## Properties
- ΔH_f (0 K) (eV/atom) = 1.18

a b c (Å): 4.5049 4.5049 4.5049
angles (deg): 90.00 90.00 90.00
Sites, in units of the cell vectors:
Ni (0.0000, 0.0000, 0.0000)
Sn (0.5000, 0.5000, 0.5000)
Ir (0.0000, 0.0000, 0.5000)
Ir (0.0000, 0.5000, 0.0000)
Ir (0.5000, 0.0000, 0.0000)


3.
A plane-wave DFT calculation with PBE was carried out for a relaxed Na2PuAuO6 crystal.

## Properties
- formation energy without anion corrections (eV/atom) = -1.4235

a b c (Å): 5.8523 5.8523 4.2114
angles (deg): 90.00 90.00 90.00
Sites, in units of the cell vectors:
Na (0.0000, 0.5000, 0.0000)
Na (0.5000, 0.0000, 0.0000)
Pu (0.0000, 0.0000, 0.5035)
Au (0.5000, 0.5000, 0.5033)
O (0.0000, 0.0000, 0.0036)
O (0.2373, 0.2373, 0.5040)
O (0.2373, 0.7627, 0.5040)
O (0.5000, 0.5000, 0.0034)
O (0.7627, 0.2373, 0.5040)
O (0.7627, 0.7627, 0.5040)